No. 1
Density functional theory data (SCAN) for a PBEsol-optimized structure of ZrNb2Os.

Theoretical density   11.41 g cm⁻³
DFT formation energy   -211 meV/atom

Lattice parameters (Å, degrees): 4.5810 4.5810 4.5810 60.00 60.00 60.00
Last column: nearest neighbours and their distance in Å.
Positions (direct):
Zr 0.0000 0.0000 0.0000  8 Nb 2.81
Nb 0.2500 0.2500 0.2500  4 Os 2.81, 4 Zr 2.81
Nb 0.7500 0.7500 0.7500  4 Os 2.81, 4 Zr 2.81
Os 0.5000 0.5000 0.5000  8 Nb 2.81


No. 2
Density functional theory data (SCAN) for a PBEsol-optimized structure of Nb3P.

Theoretical density   7.95 g cm⁻³
DFT formation energy   -696 meV/atom

Lattice parameters (Å, degrees): 10.1044 10.1044 5.0657 90.00 90.00 90.00
Last column: nearest neighbours and their distance in Å.
Positions (direct):
Nb 0.0378 0.5566 0.2415  2 P 2.54-2.61, 2 Nb 2.81-2.83
Nb 0.0566 0.9622 0.7415  2 P 2.54-2.61, 2 Nb 2.81-2.83
Nb 0.1047 0.2397 0.0139  4 P 2.54-2.63, 1 Nb 2.83
Nb 0.1542 0.6633 0.7291  2 P 2.56-2.59, 1 Nb 2.61
Nb 0.1633 0.8458 0.2291  2 P 2.56-2.59, 1 Nb 2.61
Nb 0.2397 0.3953 0.4861  4 P 2.54-2.63, 1 Nb 2.83
Nb 0.2603 0.1047 0.4861  4 P 2.54-2.63, 1 Nb 2.83
Nb 0.3367 0.6542 0.2291  2 P 2.56-2.59, 1 Nb 2.61
Nb 0.3458 0.8367 0.7291  2 P 2.56-2.59, 1 Nb 2.61
Nb 0.3953 0.2603 0.0139  4 P 2.54-2.63, 1 Nb 2.83
Nb 0.4434 0.5378 0.7415  2 P 2.54-2.61, 2 Nb 2.81-2.83
Nb 0.4622 0.9434 0.2415  2 P 2.54-2.61, 2 Nb 2.81-2.83
Nb 0.5378 0.0566 0.7585  2 P 2.54-2.61, 2 Nb 2.81-2.83
Nb 0.5566 0.4622 0.2585  2 P 2.54-2.61, 2 Nb 2.81-2.83
Nb 0.6047 0.7397 0.9861  4 P 2.54-2.63, 1 Nb 2.83
Nb 0.6542 0.1633 0.2709  2 P 2.56-2.59, 1 Nb 2.61
Nb 0.6633 0.3458 0.7709  2 P 2.56-2.59, 1 Nb 2.61
Nb 0.7397 0.8953 0.5139  4 P 2.54-2.63, 1 Nb 2.83
Nb 0.7603 0.6047 0.5139  4 P 2.54-2.63, 1 Nb 2.83
Nb 0.8367 0.1542 0.7709  2 P 2.56-2.59, 1 Nb 2.61
Nb 0.8458 0.3367 0.2709  2 P 2.56-2.59, 1 Nb 2.61
Nb 0.8953 0.7603 0.9861  4 P 2.54-2.63, 1 Nb 2.83
Nb 0.9434 0.0378 0.2585  2 P 2.54-2.61, 2 Nb 2.81-2.83
Nb 0.9622 0.4434 0.7585  2 P 2.54-2.61, 2 Nb 2.81-2.83
P 0.0428 0.2294 0.5172  8 Nb 2.54-2.63
P 0.2294 0.4572 0.9828  8 Nb 2.54-2.63
P 0.2706 0.0428 0.9828  8 Nb 2.54-2.63
P 0.4572 0.2706 0.5172  8 Nb 2.54-2.63
P 0.5428 0.7294 0.4828  8 Nb 2.54-2.63
P 0.7294 0.9572 0.0172  8 Nb 2.54-2.63
P 0.7706 0.5428 0.0172  8 Nb 2.54-2.63
P 0.9572 0.7706 0.4828  8 Nb 2.54-2.63


No. 3
Density functional theory data (SCAN) for a PBEsol-optimized structure of NbP2.

Theoretical density   5.46 g cm⁻³
DFT formation energy   -729 meV/atom

Lattice parameters (Å, degrees): 4.7049 4.7049 7.5097 117.01 117.01 40.36
Last column: nearest neighbours and their distance in Å.
Positions (direct):
Nb 0.1593 0.1593 0.2003  8 P 2.56-2.62
Nb 0.8407 0.8407 0.7997  8 P 2.56-2.62
P 0.1340 0.1340 0.5258  1 P 2.21
P 0.4026 0.4026 0.1013  5 Nb 2.59-2.62, 3 P 2.79-2.87
P 0.5974 0.5974 0.8987  5 Nb 2.59-2.62, 3 P 2.79-2.87
P 0.8660 0.8660 0.4742  1 P 2.21


No. 4
Density functional theory data (SCAN) for a PBEsol-optimized structure of NbP.

Theoretical density   6.57 g cm⁻³
DFT formation energy   -1048 meV/atom

Lattice parameters (Å, degrees): 6.1272 6.1272 6.1272 148.49 148.49 45.17
Last column: nearest neighbours and their distance in Å.
Positions (direct):
Nb 0.0000 0.0000 0.0000  6 P 2.52-2.53
Nb 0.7500 0.2500 0.5000  6 P 2.52-2.53
P 0.1677 0.6677 0.5000  6 Nb 2.52-2.53
P 0.4177 0.4177 0.0000  6 Nb 2.52-2.53


Q: Number 1 is which compound?
A: ZrNb2Os